# 1
MnP2RhS | PBE-GGA | relaxed

extended XYZ file:
```
5
Lattice="4.280 0.000 0.000 0.000 4.280 0.000 0.000 0.000 4.405" Properties=species:S:1:pos:R:3 pbc="T T T"
P 2.140 0.000 0.000
Mn 0.000 0.000 0.000
S 0.000 0.000 2.202
Rh 2.140 2.140 2.202
P 0.000 2.140 0.000
```

# 2
MnPRhS2 | PBE-GGA | relaxed

extended XYZ file:
```
5
Lattice="-2.827 -2.570 -2.191 -0.644 -2.395 3.640 -3.282 2.630 1.150" Properties=species:S:1:pos:R:3 pbc="T T T"
P -1.641 1.315 0.575
S -0.322 -1.197 1.820
S -1.414 -1.285 -1.095
Rh -3.376 -1.168 1.299
Mn 0.000 0.000 0.000
```

# 3
MnP2RhS | PBE-GGA | relaxed

extended XYZ file:
```
5
Lattice="-0.138 -1.448 -4.203 4.323 0.936 -0.464 1.127 -4.462 1.500" Properties=species:S:1:pos:R:3 pbc="T T T"
Mn 2.656 -2.487 -1.584
P 2.162 0.468 -0.232
Rh 0.000 0.000 0.000
S 0.564 -2.231 0.750
P -0.069 -0.724 -2.102
```

# 4
MnPRhS2 | PBE-GGA | relaxed

extended XYZ file:
```
5
Lattice="-2.319 4.170 0.309 0.283 -0.196 4.769 3.760 2.101 -0.137" Properties=species:S:1:pos:R:3 pbc="T T T"
Rh 0.000 0.000 0.000
S -1.159 2.085 0.155
P 1.880 1.050 -0.068
S 0.142 -0.098 2.385
Mn 0.863 3.038 2.471
```

| no. | V (Å³/cell) | ΔE to the lowest computed polymorph (eV/atom) |
| --- | --- | --- |
| 1 | 80.7 | 0.000 |
| 2 | 84.6 | 0.000 |
| 3 | 95.7 | 0.555 |
| 4 | 98.5 | 0.502 |